Entry 1:
{
  "formula": "ZrTc2Ge",
  "functional": "PBE-GGA",
  "state": "optimized geometry",
  "lattice_angstrom": [[3.340, 0.000, 0.000], [0.000, 4.379, 0.000], [0.000, 0.000, 4.379]],
  "species": ["Ge", "Tc", "Tc", "Zr"],
  "fractional_positions": [[0.500, 0.000, 0.000], [0.000, 0.000, 0.500], [0.000, 0.500, 0.000], [0.500, 0.500, 0.500]],
  "spacegroup": "No. 123",
  "vol_a3_per_cell": 64.1,
  "crystal_system": "tetragonal",
  "delta_e_f_ev_per_atom": -0.257
}

Entry 2:
{
  "formula": "Zr2TcGe2",
  "functional": "PBE-GGA",
  "state": "optimized geometry",
  "lattice_angstrom": [[-2.598, -1.352, -2.694], [1.341, -4.832, -1.808], [-2.793, -4.152, 1.838]],
  "species": ["Zr", "Zr", "Tc", "Ge", "Ge"],
  "fractional_positions": [[0.789, 0.711, 0.711], [0.211, 0.289, 0.289], [0.000, 0.000, 0.000], [0.500, 0.725, 0.275], [0.500, 0.275, 0.725]],
  "spacegroup": "No. 71",
  "vol_a3_per_cell": 90.4,
  "crystal_system": "orthorhombic",
  "delta_e_f_ev_per_atom": -0.635
}